Compound: Pr2Zn4Ga3Ge
Source: Alexandria
Functional: PBE
Structure: optimized geometry

The value obtained for the calculated formation energy is -463 meV per atom. Its raw total energy is -3.30 eV/atom.

The structure belongs to space group P-4m2 (No. 115); the cell edges are 4.313, 4.313 and 10.533 Å and the angles 90.00°, 90.00° and 90.00°. The inequivalent atoms are Pr at (0.000, 0.500, 0.248), Zn at (0.000, 0.000, 0.000), Zn at (0.000, 0.500, 0.636), Zn at (0.500, 0.500, 0.000), Ga at (0.000, 0.500, 0.868), Ga at (0.500, 0.500, 0.500) and Ge at (0.000, 0.000, 0.500).